# 1
5
Lattice="5.477 0.000 0.000 0.000 5.477 0.000 0.000 0.000 5.477" Properties=species:S:1:pos:R:3 comment="TaBi3Cl PBE relaxed" polymorph_energy_mev_per_atom=0.0 pbc="T T T"
Ta 0.000 0.000 0.000
Bi 0.000 0.000 2.738
Bi 0.000 2.738 0.000
Bi 2.738 0.000 0.000
Cl 2.738 2.738 2.738

---

# 2
4
Lattice="3.174 0.000 0.000 0.000 3.174 0.000 0.000 0.000 7.631" Properties=species:S:1:pos:R:3 comment="CaMo3 PBE relaxed" polymorph_energy_mev_per_atom=55.8 delta_e_f_ev_per_atom=0.529 pbc="T T T"
Ca 0.000 0.000 0.000
Mo 0.000 0.000 3.815
Mo 1.587 1.587 2.335
Mo 1.587 1.587 5.296

---

# 3
5
Lattice="5.454 0.000 0.000 0.000 5.454 0.000 0.000 0.000 4.518" Properties=species:S:1:pos:R:3 comment="Y2AsOsS PBE relaxed" dft_energy_ev_per_atom=-7.033 pbc="T T T"
Y 0.000 2.727 0.000
Y 2.727 0.000 0.000
As 0.000 0.000 2.259
Os 0.000 0.000 0.000
S 2.727 2.727 2.259

---

# 4
14
Lattice="-3.573 3.573 4.659 3.573 -3.573 4.659 3.573 3.573 -4.659" Properties=species:S:1:pos:R:3 comment="Li5Zn8Ga PBE relaxed" delta_e_f_ev_per_atom=-0.055 pbc="T T T"
Li 0.000 0.000 0.000
Li 4.562 1.873 0.413
Li 1.873 2.583 -0.413
Li 1.700 0.989 4.246
Li -0.989 1.700 5.072
Zn 4.898 -0.583 1.430
Zn 4.127 2.442 -2.269
Zn 2.990 -1.325 3.229
Zn 2.247 0.583 1.430
Zn -0.554 1.131 2.390
Zn 4.155 1.325 3.229
Zn 2.442 3.018 2.269
Zn 1.131 0.554 6.928
Ga 0.000 3.573 2.329

---

# 5
5
Lattice="4.818 0.000 0.000 0.000 4.818 0.000 0.000 0.000 4.818" Properties=species:S:1:pos:R:3 comment="SrLi3Ir PBE relaxed" polymorph_energy_mev_per_atom=147.6 delta_e_f_ev_per_atom=0.100 pbc="T T T"
Sr 0.000 0.000 0.000
Li 0.000 2.409 2.409
Li 2.409 0.000 2.409
Li 2.409 2.409 0.000
Ir 2.409 2.409 2.409

---

# 6
10
Lattice="4.172 0.000 0.000 0.000 4.172 0.000 0.000 0.000 18.080" Properties=species:S:1:pos:R:3 comment="Sn2SbPb2 PBE relaxed" polymorph_energy_mev_per_atom=18.8 pbc="T T T"
Sn 0.000 2.086 4.520
Sn 0.000 2.086 13.560
Sn 2.086 0.000 4.520
Sn 2.086 0.000 13.560
Sb 0.000 0.000 0.000
Sb 2.086 2.086 9.040
Pb 0.000 0.000 7.337
Pb 0.000 0.000 10.743
Pb 2.086 2.086 1.703
Pb 2.086 2.086 16.376